LiPPt3 | PBE-GGA | optimized geometry

Formation energy in kcal/mol of atoms: -12.778
Uncorrected energy in eV/atom: -5.643
D(E_F) in states/eV per atom: 0.212
Space group: No. 63

```
data_LiPPt3
_chemical_formula_sum 'Li2 P2 Pt6'
_cell_length_a 6.0905
_cell_length_b 6.0905
_cell_length_c 5.5813
_cell_angle_alpha 90.00
_cell_angle_beta 90.00
_cell_angle_gamma 126.01
_space_group_name_H-M_alt 'P 1'
_space_group_IT_number 1
_space_group_name_Hall 'P 1'
loop_
_atom_site_label
_atom_site_type_symbol
_atom_site_fract_x
_atom_site_fract_y
_atom_site_fract_z
Li1 Li 0.2444 0.7556 0.7500
Li2 Li 0.7556 0.2444 0.2500
P1 P 0.1134 0.8866 0.2500
P2 P 0.8866 0.1134 0.7500
Pt1 Pt 0.2574 0.2574 0.0000
Pt2 Pt 0.2574 0.2574 0.5000
Pt3 Pt 0.3122 0.6878 0.2500
Pt4 Pt 0.6878 0.3122 0.7500
Pt5 Pt 0.7426 0.7426 0.0000
Pt6 Pt 0.7426 0.7426 0.5000
```